The following is a PBE-GGA calculation of a relaxed structure of MgGaTcMo, from the Open Quantum Materials Database.

Structure (POSCAR):
```
MgGaTcMo
1.0
0.000 3.122 3.122
3.122 0.000 3.122
3.122 3.122 0.000
Mg Ga Tc Mo
1 1 1 1
Cartesian
0.000 0.000 0.000
1.561 1.561 1.561
3.122 3.122 3.122
4.683 4.683 4.683
```

Summary:
As for the total magnetization: 0.0 μB/cell. Its space-group type is No. 216. As for the volume: 60.8 Å³ per cell. As for the energy above the most stable polymorph in this dataset: 0 meV/atom. For the calculated total energy, the calculation gives -6.50 eV per atom.


The following is a PBE-GGA calculation of a relaxed structure of NaMgNb2Ga2Os2, from the Open Quantum Materials Database.

Structure (POSCAR):
```
NaMgNb2Ga2Os2
1.0
4.472 0.000 0.000
0.000 4.472 0.000
0.000 0.000 6.342
Na Mg Nb Ga Os
1 1 2 2 2
Cartesian
0.000 0.000 0.000
2.236 2.236 3.171
0.000 2.236 1.580
2.236 0.000 4.763
0.000 2.236 4.778
2.236 0.000 1.565
0.000 0.000 3.171
2.236 2.236 0.000
```

Summary:
As for the total magnetization: 0.0 μB/cell. Its space-group type is No. 115. As for the volume: 126.8 Å³ per cell. For the calculated total energy, the calculation gives -6.47 eV per atom.


The following is a PBE-GGA calculation of a relaxed structure of Na2Mg2GaSiPd2, from the Open Quantum Materials Database.

Structure (POSCAR):
```
Na2Mg2GaSiPd2
1.0
4.587 0.000 0.000
0.000 4.587 0.000
0.000 0.000 6.488
Na Mg Ga Si Pd
2 2 1 1 2
Cartesian
0.000 2.293 1.605
2.293 0.000 4.883
0.000 0.000 0.000
2.293 2.293 3.244
0.000 0.000 3.244
2.293 2.293 0.000
0.000 2.293 4.937
2.293 0.000 1.551
```

Summary:
Its space-group type is No. 115. As for the volume: 136.5 Å³ per cell. For the calculated total energy, the calculation gives -3.31 eV per atom.


The following is a PBE-GGA calculation of a relaxed structure of Na2Mg2GaSnPd2, from the Open Quantum Materials Database.

Structure (POSCAR):
```
Na2Mg2GaSnPd2
1.0
4.696 0.000 0.000
0.000 4.696 0.000
0.000 0.000 6.705
Na Mg Ga Sn Pd
2 2 1 1 2
Cartesian
0.000 2.348 1.582
2.348 0.000 5.123
0.000 0.000 0.000
2.348 2.348 3.353
2.348 2.348 0.000
0.000 0.000 3.353
0.000 2.348 5.083
2.348 0.000 1.622
```

Summary:
Its space-group type is No. 115. As for the volume: 147.8 Å³ per cell. For the calculated total energy, the calculation gives -3.21 eV per atom.


The following is a PBE-GGA calculation of a relaxed structure of Na2Mg2ZnGaPd2, from the Open Quantum Materials Database.

Structure (POSCAR):
```
Na2Mg2ZnGaPd2
1.0
4.634 0.000 0.000
0.000 4.634 0.000
0.000 0.000 6.534
Na Mg Zn Ga Pd
2 2 1 1 2
Cartesian
0.000 2.317 1.615
2.317 0.000 4.919
0.000 0.000 0.000
2.317 2.317 3.267
2.317 2.317 0.000
0.000 0.000 3.267
0.000 2.317 4.863
2.317 0.000 1.671
```

Summary:
Its space-group type is No. 115. As for the volume: 140.3 Å³ per cell. For the calculated total energy, the calculation gives -2.81 eV per atom.


The following is a PBE-GGA calculation of a relaxed structure of Na2MgZnGa2Pd2, from the Open Quantum Materials Database.

Structure (POSCAR):
```
Na2MgZnGa2Pd2
1.0
4.573 0.000 0.000
0.000 4.573 0.000
0.000 0.000 6.498
Na Mg Zn Ga Pd
2 1 1 2 2
Cartesian
0.000 2.287 1.556
2.287 0.000 4.943
0.000 0.000 3.249
2.287 2.287 0.000
0.000 0.000 0.000
2.287 2.287 3.249
0.000 2.287 4.907
2.287 0.000 1.591
```

Summary:
Its space-group type is No. 115. As for the volume: 135.9 Å³ per cell. For the calculated total energy, the calculation gives -2.99 eV per atom.


The following is a PBE-GGA calculation of a relaxed structure of NaMgGa4Pt2, from the Open Quantum Materials Database.

Structure (POSCAR):
```
NaMgGa4Pt2
1.0
7.088 0.000 0.000
0.000 2.082 4.819
0.000 -2.082 4.819
Na Mg Ga Pt
1 1 4 2
Cartesian
0.000 0.000 0.000
3.544 0.000 8.145
1.421 0.000 2.773
2.125 0.000 5.389
4.964 0.000 5.389
5.668 0.000 2.773
0.000 0.000 6.881
3.544 0.000 1.264
```

Summary:
As for the total magnetization: 0.0 μB/cell. Its space-group type is No. 38. As for the volume: 142.2 Å³ per cell. For the calculated total energy, the calculation gives -3.91 eV per atom.


The following is a PBE-GGA calculation of a relaxed structure of Na2MgZn2GaPt2, from the Open Quantum Materials Database.

Structure (POSCAR):
```
Na2MgZn2GaPt2
1.0
4.526 0.000 0.000
0.000 4.526 0.000
0.000 0.000 6.450
Na Mg Zn Ga Pt
2 1 2 1 2
Cartesian
0.000 2.263 1.600
2.263 0.000 4.850
2.263 2.263 3.225
0.000 0.000 3.225
2.263 2.263 0.000
0.000 0.000 0.000
0.000 2.263 4.914
2.263 0.000 1.536
```

Summary:
As for the total magnetization: 0.0 μB/cell. Its space-group type is No. 115. As for the volume: 132.1 Å³ per cell. For the calculated total energy, the calculation gives -3.08 eV per atom.


The following is a PBE-GGA calculation of a relaxed structure of Na2MgZnGa2Pt2, from the Open Quantum Materials Database.

Structure (POSCAR):
```
Na2MgZnGa2Pt2
1.0
4.538 0.000 0.000
0.000 4.538 0.000
0.000 0.000 6.429
Na Mg Zn Ga Pt
2 1 1 2 2
Cartesian
0.000 2.269 1.557
2.269 0.000 4.873
2.269 2.269 3.215
0.000 0.000 0.000
0.000 0.000 3.215
2.269 2.269 0.000
0.000 2.269 4.846
2.269 0.000 1.583
```

Summary:
As for the total magnetization: 0.0 μB/cell. Its space-group type is No. 115. As for the volume: 132.4 Å³ per cell. For the calculated total energy, the calculation gives -3.32 eV per atom.


The following is a PBE-GGA calculation of a relaxed structure of Na4MgZnGa2, from the Open Quantum Materials Database.

Structure (POSCAR):
```
Na4MgZnGa2
1.0
4.933 0.000 0.000
0.000 4.933 0.000
0.000 0.000 7.131
Na Mg Zn Ga
4 1 1 2
Cartesian
0.000 0.000 0.000
0.000 2.466 5.225
2.466 0.000 1.906
2.466 2.466 3.565
2.466 2.466 0.000
0.000 0.000 3.565
0.000 2.466 1.843
2.466 0.000 5.288
```

Summary:
Its space-group type is No. 115. As for the volume: 173.5 Å³ per cell. For the calculated total energy, the calculation gives -1.76 eV per atom.


The following is a PBE-GGA calculation of a relaxed structure of Mg2NbGa, from the Open Quantum Materials Database.

Structure (POSCAR):
```
Mg2NbGa
1.0
0.000 3.330 3.330
3.330 0.000 3.330
3.330 3.330 0.000
Mg Nb Ga
2 1 1
Cartesian
0.000 0.000 0.000
1.665 1.665 1.665
4.995 4.995 4.995
3.330 3.330 3.330
```

Summary:
As for the total magnetization: 1.9 μB/cell. Its space-group type is No. 216. As for the volume: 73.9 Å³ per cell. For the calculated total energy, the calculation gives -3.87 eV per atom.


The following is a PBE-GGA calculation of a relaxed structure of MgNbGaOs, from the Open Quantum Materials Database.

Structure (POSCAR):
```
MgNbGaOs
1.0
0.000 3.154 3.154
3.154 0.000 3.154
3.154 3.154 0.000
Mg Nb Ga Os
1 1 1 1
Cartesian
0.000 0.000 0.000
1.577 1.577 1.577
4.731 4.731 4.731
3.154 3.154 3.154
```

Summary:
As for the total magnetization: 0.0 μB/cell. Its space-group type is No. 216. As for the volume: 62.8 Å³ per cell. As for the energy above the most stable polymorph in this dataset: 0 meV/atom. For the calculated total energy, the calculation gives -6.68 eV per atom.


The following is a PBE-GGA calculation of a relaxed structure of MgNbGaOs, from the Open Quantum Materials Database.

Structure (POSCAR):
```
MgNbGaOs
1.0
0.000 3.161 3.161
3.161 0.000 3.161
3.161 3.161 0.000
Mg Nb Ga Os
1 1 1 1
Cartesian
0.000 0.000 0.000
1.581 1.581 1.581
3.161 3.161 3.161
4.742 4.742 4.742
```

Summary:
As for the total magnetization: 0.6 μB/cell. Its space-group type is No. 216. As for the volume: 63.2 Å³ per cell. As for the energy above the most stable polymorph in this dataset: 420 meV/atom. For the calculated total energy, the calculation gives -6.26 eV per atom.


The following is a PBE-GGA calculation of a relaxed structure of NdMgGa4, from the Open Quantum Materials Database.

Structure (POSCAR):
```
NdMgGa4
1.0
4.541 0.000 0.000
-2.270 3.932 0.000
0.000 0.000 6.750
Nd Mg Ga
1 1 4
Cartesian
0.000 0.000 0.000
0.000 0.000 3.375
0.000 2.622 1.931
0.000 2.622 4.819
2.270 1.311 1.953
2.270 1.311 4.797
```

Summary:
As for the total magnetization: 0.0 μB/cell. Its space-group type is No. 187. As for the volume: 120.5 Å³ per cell. For the calculated total energy, the calculation gives -3.51 eV per atom.


The following is a PBE-GGA calculation of a relaxed structure of Nd3Mg3Ga2Pd, from the Open Quantum Materials Database.

Structure (POSCAR):
```
Nd3Mg3Ga2Pd
1.0
7.495 0.000 0.000
-3.747 6.491 0.000
0.000 0.000 4.443
Nd Mg Ga Pd
3 3 2 1
Cartesian
-2.189 3.792 0.000
1.558 2.698 0.000
4.379 0.000 0.000
-0.887 1.537 2.222
1.775 0.000 2.222
2.860 4.954 2.222
0.000 4.327 2.222
3.747 2.164 2.222
0.000 0.000 0.000
```

Summary:
As for the total magnetization: 0.0 μB/cell. Its space-group type is No. 189. As for the volume: 216.1 Å³ per cell. For the calculated total energy, the calculation gives -3.90 eV per atom.


The following is a PBE-GGA calculation of a relaxed structure of Pr2NdMg3TlGa2, from the Open Quantum Materials Database.

Structure (POSCAR):
```
Pr2NdMg3TlGa2
1.0
4.657 0.000 0.000
0.000 6.542 3.785
0.000 -6.542 3.785
Pr Nd Mg Tl Ga
2 1 3 1 2
Cartesian
0.000 -3.706 3.785
0.000 3.706 3.785
0.000 0.000 2.648
2.329 0.000 0.249
2.329 -1.629 4.982
2.329 1.629 4.982
0.000 0.000 5.918
2.329 -2.170 2.144
2.329 2.170 2.144
```

Summary:
As for the total magnetization: 0.0 μB/cell. Its space-group type is No. 38. As for the volume: 230.7 Å³ per cell. For the calculated total energy, the calculation gives -3.49 eV per atom.


The following is a PBE-GGA calculation of a relaxed structure of PrNd2Mg3TlGa2, from the Open Quantum Materials Database.

Structure (POSCAR):
```
PrNd2Mg3TlGa2
1.0
4.655 0.000 0.000
0.000 6.538 3.768
0.000 -6.538 3.768
Pr Nd Mg Tl Ga
1 2 3 1 2
Cartesian
0.000 0.000 0.000
0.000 -2.840 4.912
0.000 2.840 4.912
2.328 -1.626 2.341
2.328 1.626 2.341
2.328 0.000 5.146
0.000 0.000 3.282
2.328 -4.351 3.275
2.328 4.351 3.275
```

Summary:
As for the total magnetization: 0.0 μB/cell. Its space-group type is No. 38. As for the volume: 229.3 Å³ per cell. For the calculated total energy, the calculation gives -3.49 eV per atom.


The following is a PBE-GGA calculation of a relaxed structure of Nd3Mg3Ga2Pt, from the Open Quantum Materials Database.

Structure (POSCAR):
```
Nd3Mg3Ga2Pt
1.0
7.504 0.000 0.000
-3.752 6.499 0.000
0.000 0.000 4.413
Nd Mg Ga Pt
3 3 2 1
Cartesian
-1.537 2.662 0.000
3.074 0.000 0.000
2.215 3.837 0.000
-2.866 4.964 2.207
0.886 1.534 2.207
5.732 0.000 2.207
0.000 4.332 2.207
3.752 2.166 2.207
0.000 0.000 0.000
```

Summary:
As for the total magnetization: 0.0 μB/cell. Its space-group type is No. 189. As for the volume: 215.2 Å³ per cell. For the calculated total energy, the calculation gives -4.08 eV per atom.


The following is a PBE-GGA calculation of a relaxed structure of NdMgGa4Pt2, from the Open Quantum Materials Database.

Structure (POSCAR):
```
NdMgGa4Pt2
1.0
6.895 0.000 0.000
0.000 2.154 5.019
0.000 -2.154 5.019
Nd Mg Ga Pt
1 1 4 2
Cartesian
0.000 0.000 0.000
3.447 0.000 8.483
1.432 0.000 2.918
2.123 0.000 5.621
4.772 0.000 5.621
5.463 0.000 2.918
0.000 0.000 7.169
3.447 0.000 1.269
```

Summary:
As for the total magnetization: 0.0 μB/cell. Its space-group type is No. 38. As for the volume: 149.0 Å³ per cell. For the calculated total energy, the calculation gives -4.54 eV per atom.


The following is a PBE-GGA calculation of a relaxed structure of TbNd2Mg3TlGa2, from the Open Quantum Materials Database.

Structure (POSCAR):
```
TbNd2Mg3TlGa2
1.0
4.622 0.000 0.000
0.000 6.441 3.752
0.000 -6.441 3.752
Tb Nd Mg Tl Ga
1 2 3 1 2
Cartesian
0.000 0.000 0.000
0.000 -2.807 2.601
0.000 2.807 2.601
2.311 0.000 2.369
2.311 -1.598 5.181
2.311 1.598 5.181
0.000 0.000 4.277
2.311 -4.328 4.236
2.311 4.328 4.236
```

Summary:
As for the total magnetization: 0.0 μB/cell. Its space-group type is No. 38. As for the volume: 223.4 Å³ per cell. For the calculated total energy, the calculation gives -3.47 eV per atom.